# 1
Compound: Nd3TmHg4
Source: the Alexandria database
Functional: PBE
Structure: relaxed

Geometry as POSCAR:
```
Nd3TmHg4
1.0
3.767 0.000 0.000
0.000 3.767 0.000
0.000 0.000 15.440
Nd Tm Hg
3 1 4
Cartesian
0.000 0.000 0.000
0.000 0.000 3.947
0.000 0.000 11.494
0.000 0.000 7.720
1.883 1.883 1.955
1.883 1.883 5.996
1.883 1.883 9.445
1.883 1.883 13.485
```

Properties
Total magnetization: 1.5 μB per formula unit
E: -2.968 eV per atom
Energy relative to the elements: -0.47 eV per atom
ΔE to the lowest computed polymorph: 0.0 meV per atom

=====

# 2
Compound: Nd5Tm2Hg4
Source: the Alexandria database
Functional: PBE
Structure: relaxed

Geometry as POSCAR:
```
Nd5Tm2Hg4
1.0
9.360 -1.845 0.000
9.360 1.845 0.000
-1.567 0.000 9.432
Nd Tm Hg
5 2 4
Cartesian
0.000 0.000 0.000
1.866 0.000 8.520
5.314 0.000 7.349
11.840 0.000 2.083
15.288 0.000 0.912
5.055 0.000 3.814
12.099 0.000 5.618
0.695 0.000 4.172
8.147 0.000 2.499
9.007 0.000 6.932
16.459 0.000 5.260
```

Properties
Total magnetization: 0.0 μB per formula unit
E: -3.282 eV per atom
Energy relative to the elements: -0.19 eV per atom

=====

# 3
Compound: NdTm4Hg
Source: the Alexandria database
Functional: PBE
Structure: relaxed

Geometry as POSCAR:
```
NdTm4Hg
1.0
4.340 -6.933 0.000
4.340 6.933 0.000
-2.062 0.000 5.936
Nd Tm Hg
2 8 2
Cartesian
2.793 5.597 4.452
3.824 -5.597 1.484
0.107 1.636 5.168
2.541 2.600 2.697
1.138 -1.636 2.200
5.107 2.600 0.271
1.510 -2.600 5.665
5.480 1.636 3.736
4.076 -2.600 3.239
6.511 -1.636 0.768
3.824 -0.006 1.484
2.793 0.006 4.452
```

Properties
Total magnetization: 0.0 μB per formula unit
E: -3.870 eV per atom
Energy relative to the elements: -0.04 eV per atom
ΔE to the lowest computed polymorph: 94.3 meV per atom

=====

# 4
Compound: Nd8TmHg2
Source: the Alexandria database
Functional: PBE
Structure: relaxed

Geometry as POSCAR:
```
Nd8TmHg2
1.0
4.496 -7.669 0.000
4.496 7.669 0.000
-2.080 0.000 5.337
Nd Tm Hg
8 1 2
Cartesian
0.574 1.719 3.211
4.496 4.224 0.000
0.574 -1.719 3.211
3.176 0.000 1.064
3.737 0.000 4.273
6.339 1.719 2.125
4.496 -4.224 0.000
6.339 -1.719 2.125
0.000 0.000 0.000
3.456 2.972 2.668
3.456 -2.972 2.668
```

Properties
Total magnetization: 0.0 μB per formula unit
E: -3.991 eV per atom
Energy relative to the elements: -0.06 eV per atom

=====

# 5
Compound: NdTm3Hg2
Source: the Alexandria database
Functional: PBE
Structure: relaxed

Geometry as POSCAR:
```
NdTm3Hg2
1.0
7.985 -2.656 0.000
7.985 2.656 0.000
-3.786 0.000 7.980
Nd Tm Hg
2 6 4
Cartesian
1.408 0.000 1.487
10.776 0.000 6.493
-1.711 0.000 5.776
4.881 0.000 0.025
4.311 0.000 3.766
7.873 0.000 4.214
7.303 0.000 7.955
13.895 0.000 2.205
1.293 0.000 4.879
4.693 0.000 6.626
7.491 0.000 1.355
10.891 0.000 3.102
```

Properties
Total magnetization: 0.1 μB per formula unit
E: -3.382 eV per atom
Energy relative to the elements: -0.25 eV per atom
ΔE to the lowest computed polymorph: 95.3 meV per atom

=====

# 6
Compound: NdTm2Hg
Source: the Alexandria database
Functional: PBE
Structure: relaxed

Geometry as POSCAR:
```
NdTm2Hg
1.0
4.831 0.000 0.000
0.000 4.831 0.000
0.000 0.000 4.789
Nd Tm Hg
1 2 1
Cartesian
0.000 0.000 0.000
0.000 2.416 2.395
2.416 0.000 2.395
2.416 2.416 0.000
```

Properties
Total magnetization: 0.6 μB per formula unit
E: -3.654 eV per atom
Energy relative to the elements: -0.15 eV per atom
ΔE to the lowest computed polymorph: 86.5 meV per atom

=====

# 7
Compound: Nd6TmHg2
Source: the Alexandria database
Functional: PBE
Structure: relaxed

Geometry as POSCAR:
```
Nd6TmHg2
1.0
6.482 -1.893 0.000
6.482 1.893 0.000
-3.938 0.000 11.562
Nd Tm Hg
6 1 2
Cartesian
-1.025 0.000 3.881
2.400 0.000 4.720
3.587 0.000 1.427
5.440 0.000 10.135
6.627 0.000 6.842
10.051 0.000 7.681
0.000 0.000 0.000
1.537 0.000 9.372
7.490 0.000 2.190
```

Properties
Total magnetization: 0.0 μB per formula unit
E: -3.953 eV per atom
Energy relative to the elements: -0.21 eV per atom

=====

# 8
Compound: NdTm2Hg6
Source: the Alexandria database
Functional: PBE
Structure: relaxed

Geometry as POSCAR:
```
NdTm2Hg6
1.0
7.220 -5.858 0.000
7.220 5.858 0.000
-0.947 0.000 5.361
Nd Tm Hg
2 4 12
Cartesian
6.510 4.374 4.021
6.983 -4.374 1.340
3.955 1.450 4.902
4.429 -1.450 2.221
9.064 1.450 3.140
9.538 -1.450 0.459
5.355 4.351 1.044
2.946 1.483 1.940
8.612 4.351 1.637
5.993 1.423 2.519
2.472 -1.483 4.620
7.973 1.423 0.162
5.520 -1.423 5.199
11.021 1.483 0.741
7.500 -1.423 2.842
4.881 -4.351 3.724
10.547 -1.483 3.421
8.138 -4.351 4.317
```

Properties
Total magnetization: 0.0 μB per formula unit
E: -2.109 eV per atom
Energy relative to the elements: -0.38 eV per atom
ΔE to the lowest computed polymorph: 0.0 meV per atom

=====

# 9
Compound: Nd2TmHg
Source: the Alexandria database
Functional: PBE
Structure: relaxed

Geometry as POSCAR:
```
Nd2TmHg
1.0
3.693 0.000 0.000
-1.847 3.199 0.000
0.000 0.000 32.192
Nd Tm Hg
6 3 3
Cartesian
0.000 0.000 0.000
0.000 0.000 5.692
0.000 2.132 21.461
0.000 2.132 27.154
1.847 1.066 10.731
1.847 1.066 16.423
0.000 0.000 13.568
0.000 2.132 2.838
1.847 1.066 24.299
0.000 0.000 18.944
0.000 2.132 8.213
1.847 1.066 29.675
```

Properties
Total magnetization: 0.0 μB per formula unit
E: -3.707 eV per atom
Energy relative to the elements: -0.13 eV per atom
ΔE to the lowest computed polymorph: 96.9 meV per atom

=====

# 10
Compound: Nd3Tm4Hg4
Source: the Alexandria database
Functional: PBE
Structure: relaxed

Geometry as POSCAR:
```
Nd3Tm4Hg4
1.0
-2.467 3.915 8.231
2.467 -3.915 8.231
2.467 3.915 -8.231
Nd Tm Hg
3 4 4
Cartesian
0.000 0.000 0.000
2.467 0.000 6.413
0.000 3.915 1.819
2.467 1.668 -2.877
2.467 1.668 2.877
0.000 2.247 5.354
0.000 2.247 11.109
0.000 0.000 3.458
2.467 2.364 0.000
0.000 1.551 8.231
0.000 0.000 13.005
```

Properties
Total magnetization: 0.0 μB per formula unit
E: -3.336 eV per atom
Energy relative to the elements: -0.30 eV per atom

=====

# 11
Compound: NdTm2Hg
Source: the Alexandria database
Functional: PBE
Structure: relaxed

Geometry as POSCAR:
```
NdTm2Hg
1.0
3.601 0.000 0.000
0.000 3.601 0.000
0.000 0.000 8.891
Nd Tm Hg
1 2 1
Cartesian
0.000 0.000 0.000
1.800 1.800 2.530
1.800 1.800 6.361
0.000 0.000 4.446
```

Properties
Total magnetization: 0.0 μB per formula unit
E: -3.740 eV per atom
Energy relative to the elements: -0.24 eV per atom
ΔE to the lowest computed polymorph: 0.0 meV per atom

=====

# 12
Compound: NdTm4Hg5
Source: the Alexandria database
Functional: PBE
Structure: relaxed

Geometry as POSCAR:
```
NdTm4Hg5
1.0
3.692 0.000 0.000
0.000 3.692 0.000
0.000 0.000 18.688
Nd Tm Hg
1 4 5
Cartesian
0.000 0.000 0.000
0.000 0.000 3.856
0.000 0.000 7.520
0.000 0.000 11.167
0.000 0.000 14.832
1.846 1.846 2.094
1.846 1.846 5.686
1.846 1.846 9.344
1.846 1.846 13.002
1.846 1.846 16.594
```

Properties
Total magnetization: 0.5 μB per formula unit
E: -2.894 eV per atom
Energy relative to the elements: -0.48 eV per atom